ZrSbN2O: optimized geometry, PBE-GGA.

Summary:
N(E_F) ... 3.259 states/eV/cell
Calculated volume ... 74.6 Å³ per cell
Formation energy (no corrections) ... -235 meV per atom

a b c (Å): 4.2689 4.2689 4.0910
angles (deg): 90.00 90.00 90.00
Space group P4/mmm (No. 123)
One atom of each set of equivalent atoms:
Zr1 0.0000 0.0000 0.0000 [1 per cell]
Sb1 0.5000 0.5000 0.5000 [1 per cell]
N1 0.0000 0.5000 0.0000 [2 per cell]
O1 0.0000 0.0000 0.5000 [1 per cell]


Re2SbTe: optimized geometry, PBE-GGA.

Summary:
N(E_F) ... 6.861 states/eV/cell
Calculated volume ... 149.3 Å³ per cell
Formation energy (no corrections) ... 1031 meV per atom
Polymorph energy (0 for the lowest one) ... 0.723 eV per atom

a b c (Å): 4.2904 4.2904 8.1104
angles (deg): 90.00 90.00 90.00
Space group I-4m2 (No. 119)
One atom of each set of equivalent atoms:
Re1 0.0000 0.0000 0.0000 [2 per cell]
Re2 0.0000 0.5000 0.2500 [2 per cell]
Sb1 0.0000 0.5000 0.7500 [2 per cell]
Te1 0.0000 0.0000 0.5000 [2 per cell]


Th3OsRh2: optimized geometry, PBE-GGA.

Summary:
N(E_F) ... 16.232 states/eV/cell
Calculated volume ... 585.1 Å³ per cell
Formation energy from the elements ... -0.66 eV per atom

a b c (Å): 8.2402 5.7929 12.2580
angles (deg): 90.00 90.00 90.00
Space group Pnma (No. 62)
One atom of each set of equivalent atoms:
Th1 0.1189 0.2500 0.0812 [4 per cell]
Th2 0.1248 0.2500 0.7500 [4 per cell]
Th3 0.1324 0.2500 0.4192 [4 per cell]
Os1 0.1274 0.7500 0.0874 [4 per cell]
Rh1 0.1225 0.7500 0.4177 [4 per cell]
Rh2 0.1238 0.7500 0.7460 [4 per cell]


Ce3TmIn12: optimized geometry, PBE-GGA.

Summary:
N(E_F) ... 20.786 states/eV/cell
Calculated volume ... 410.8 Å³ per cell
Formation energy from the elements ... -0.40 eV per atom

a b c (Å): 4.6779 4.6779 18.7732
angles (deg): 90.00 90.00 90.00
Space group P4/mmm (No. 123)
One atom of each set of equivalent atoms:
Ce1 0.0000 0.0000 0.0000 [1 per cell]
Ce2 0.0000 0.0000 0.2531 [2 per cell]
Tm1 0.0000 0.0000 0.5000 [1 per cell]
In1 0.0000 0.5000 0.1263 [4 per cell]
In2 0.0000 0.5000 0.3784 [4 per cell]
In3 0.5000 0.5000 0.0000 [1 per cell]
In4 0.5000 0.5000 0.2508 [2 per cell]
In5 0.5000 0.5000 0.5000 [1 per cell]


CuP3F12: optimized geometry, PBE-GGA.

Summary:
Calculated volume ... 1640.0 Å³ per cell
Formation energy (no corrections) ... -2123 meV per atom

a b c (Å): 8.4560 8.4560 26.4834
angles (deg): 90.00 90.00 120.00
Space group R3c (No. 161, hexagonal axes)
One atom of each set of equivalent atoms:
Cu1 0.0000 0.0000 0.0000 [6 per cell]
P1 0.0136 0.2613 0.0269 [18 per cell]
F1 0.0123 0.2129 0.6859 [18 per cell]
F2 0.0548 0.2739 0.9628 [18 per cell]
F3 0.1143 0.4181 0.7532 [18 per cell]
F4 0.1990 0.4423 0.0358 [18 per cell]


Zr2SiPbN: optimized geometry, PBE-GGA.

Summary:
N(E_F) ... 2.679 states/eV/cell
Calculated volume ... 98.8 Å³ per cell
Formation energy (no corrections) ... 196 meV per atom

a b c (Å): 5.3372 5.3372 3.4685
angles (deg): 90.00 90.00 90.00
Space group P4/mmm (No. 123)
One atom of each set of equivalent atoms:
Zr1 0.0000 0.5000 0.0000 [2 per cell]
Si1 0.0000 0.0000 0.0000 [1 per cell]
Pb1 0.5000 0.5000 0.5000 [1 per cell]
N1 0.0000 0.0000 0.5000 [1 per cell]


Ba2RhN: optimized geometry, PBE-GGA.

Summary:
N(E_F) ... 13.274 states/eV/cell
Calculated volume ... 494.7 Å³ per cell
Formation energy (no corrections) ... -387 meV per atom

a b c (Å): 11.3128 11.3128 3.8656
angles (deg): 90.00 90.00 90.00
Space group I-42d (No. 122)
One atom of each set of equivalent atoms:
Ba1 0.0472 0.2500 0.1250 [8 per cell]
Rh1 0.0000 0.0000 0.5000 [4 per cell]
N1 0.0000 0.0000 0.0000 [4 per cell]


LaTiS3: optimized geometry, PBE-GGA.

Summary:
N(E_F) ... 2.030 states/eV/cell
Calculated volume ... 104.2 Å³ per cell
Formation energy (no corrections) ... -1590 meV per atom

a b c (Å): 4.7056 4.7056 4.7056
angles (deg): 90.00 90.00 90.00
Space group Pm-3m (No. 221)
One atom of each set of equivalent atoms:
La1 0.0000 0.0000 0.0000 [1 per cell]
Ti1 0.5000 0.5000 0.5000 [1 per cell]
S1 0.0000 0.5000 0.5000 [3 per cell]


Nd2Al5Ni2Pd: optimized geometry, PBE-GGA.

Summary:
N(E_F) ... 16.403 states/eV/cell
Calculated volume ... 361.0 Å³ per cell
Formation energy from the elements ... -0.53 eV per atom

a b c (Å): 9.5757 9.5757 3.9376
angles (deg): 90.00 90.00 90.00
Space group P4/mbm (No. 127)
One atom of each set of equivalent atoms:
Nd1 0.1857 0.3143 0.0000 [4 per cell]
Al1 0.0000 0.5000 0.5000 [2 per cell]
Al2 0.0534 0.7959 0.5000 [8 per cell]
Ni1 0.1091 0.6091 0.0000 [4 per cell]
Pd1 0.0000 0.0000 0.0000 [2 per cell]


Li2NpTaO6: optimized geometry, PBE-GGA.

Summary:
N(E_F) ... 13.457 states/eV/cell
Calculated volume ... 239.9 Å³ per cell
Formation energy (no corrections) ... -2652 meV per atom

a b c (Å): 5.3651 5.6783 9.5255
angles (deg): 90.00 124.25 90.00
Space group P2_1/c (No. 14)
One atom of each set of equivalent atoms:
Li1 0.2489 0.0268 0.2522 [4 per cell]
Np1 0.5000 0.0000 0.0000 [2 per cell]
Ta1 0.0000 0.0000 0.5000 [2 per cell]
O1 0.1175 0.5302 0.2401 [4 per cell]
O2 0.2355 0.1994 0.0619 [4 per cell]
O3 0.3686 0.6822 0.0606 [4 per cell]


Na2HBr3: optimized geometry, PBE-GGA.

Summary:
N(E_F) ... 0.000 states/eV/cell
E_tot ... -2.8876 eV/atom
Calculated volume ... 699.5 Å³ per cell

a b c (Å): 7.0637 13.0615 7.5812
angles (deg): 90.00 90.03 90.00
Space group C2/m (No. 12)
One atom of each set of equivalent atoms:
Na1 0.0000 0.2074 0.0000 [4 per cell]
Na2 0.0000 0.2072 0.5000 [4 per cell]
H1 0.1157 0.5000 0.2504 [4 per cell]
Br1 0.1791 0.0000 0.7498 [4 per cell]
Br2 0.2010 0.3369 0.7500 [8 per cell]


RbYMgTe3: optimized geometry, PBE-GGA.

Summary:
N(E_F) ... 0.000 states/eV/cell
Calculated volume ... 463.8 Å³ per cell
Formation energy (no corrections) ... -1219 meV per atom

a b c (Å): 9.9397 4.5380 10.9020
angles (deg): 90.00 109.41 90.00
Space group P2_1/m (No. 11)
One atom of each set of equivalent atoms:
Rb1 0.2120 0.2500 0.2373 [2 per cell]
Y1 0.3312 0.7500 0.8661 [2 per cell]
Mg1 0.0847 0.2500 0.6093 [2 per cell]
Te1 0.1150 0.2500 0.8693 [2 per cell]
Te2 0.2140 0.7500 0.5426 [2 per cell]
Te3 0.4684 0.7500 0.1608 [2 per cell]


PmScSe2: optimized geometry, PBE-GGA.

Summary:
N(E_F) ... 3.532 states/eV/cell
Calculated volume ... 281.1 Å³ per cell
Formation energy (no corrections) ... -1715 meV per atom
Polymorph energy (0 for the lowest one) ... 0.000 eV per atom

a b c (Å): 3.9446 3.9446 20.8573
angles (deg): 90.00 90.00 120.00
Space group R3m (No. 160, hexagonal axes)
One atom of each set of equivalent atoms:
Pm1 0.0000 0.0000 0.0000 [3 per cell]
Sc1 0.0000 0.0000 0.1761 [3 per cell]
Se1 0.0000 0.0000 0.5779 [3 per cell]
Se2 0.0000 0.0000 0.7626 [3 per cell]


AcPrZn: optimized geometry, PBE-GGA.

Summary:
N(E_F) ... 18.296 states/eV/cell
Calculated volume ... 418.5 Å³ per cell
Polymorph energy (0 for the lowest one) ... 0.200 eV per atom
Formation energy from the elements ... 0.03 eV per atom

a b c (Å): 10.6062 5.2847 7.4673
angles (deg): 90.00 90.00 90.00
Space group Pnma (No. 62)
One atom of each set of equivalent atoms:
Ac1 0.1325 0.2500 0.0012 [4 per cell]
Pr1 0.1159 0.2500 0.5011 [4 per cell]
Zn1 0.1231 0.7500 0.2537 [4 per cell]


Y2Tl2In: optimized geometry, PBE-GGA.

Summary:
N(E_F) ... 6.865 states/eV/cell
Calculated volume ... 292.5 Å³ per cell
Polymorph energy (0 for the lowest one) ... 0.126 eV per atom
Formation energy from the elements ... -0.20 eV per atom

a b c (Å): 8.5841 8.5841 3.9694
angles (deg): 90.00 90.00 90.00
Space group P4/mbm (No. 127)
One atom of each set of equivalent atoms:
Y1 0.1641 0.3359 0.0000 [4 per cell]
Tl1 0.1404 0.6404 0.5000 [4 per cell]
In1 0.0000 0.0000 0.0000 [2 per cell]


PrYIn: optimized geometry, PBE-GGA.

Summary:
N(E_F) ... 30.770 states/eV/cell
Calculated volume ... 628.9 Å³ per cell
Polymorph energy (0 for the lowest one) ... 0.240 eV per atom
Formation energy from the elements ... -0.12 eV per atom

a b c (Å): 5.2622 5.2622 26.2262
angles (deg): 90.00 90.00 120.00
Space group R-3m (No. 166, hexagonal axes)
One atom of each set of equivalent atoms:
Pr1 0.0000 0.0000 0.1247 [6 per cell]
Y1 0.0000 0.0000 0.3738 [6 per cell]
In1 0.0000 0.0000 0.2540 [6 per cell]


Ba2YTe: optimized geometry, PBE-GGA.

Summary:
N(E_F) ... 13.233 states/eV/cell
Calculated volume ... 339.9 Å³ per cell
Formation energy (no corrections) ... -560 meV per atom

a b c (Å): 4.1979 6.1707 13.1202
angles (deg): 90.00 90.00 90.00
Space group Imm2 (No. 44)
One atom of each set of equivalent atoms:
Ba1 0.0000 0.0000 0.0000 [2 per cell]
Ba2 0.0000 0.5000 0.1922 [2 per cell]
Y1 0.0000 0.0000 0.4011 [2 per cell]
Te1 0.0000 0.5000 0.7254 [2 per cell]


Ho2ErPb2: optimized geometry, PBE-GGA.

Summary:
N(E_F) ... 12.673 states/eV/cell
Calculated volume ... 590.8 Å³ per cell
Formation energy from the elements ... -0.43 eV per atom

a b c (Å): 4.9825 18.2095 6.5114
angles (deg): 90.00 90.00 90.00
Space group Cmc2_1 (No. 36)
One atom of each set of equivalent atoms:
Ho1 0.0000 0.0006 0.0000 [4 per cell]
Ho2 0.0000 0.1889 0.7470 [4 per cell]
Er1 0.0000 0.3939 0.7512 [4 per cell]
Pb1 0.0000 0.1977 0.2466 [4 per cell]
Pb2 0.0000 0.4246 0.2501 [4 per cell]


CeHoAs2Pd2: optimized geometry, PBE-GGA.

Summary:
N(E_F) ... 7.377 states/eV/cell
Calculated volume ... 124.7 Å³ per cell
Formation energy from the elements ... -1.13 eV per atom

a b c (Å): 4.3492 4.3492 7.6096
angles (deg): 90.00 90.00 120.00
Space group P-3m1 (No. 164)
One atom of each set of equivalent atoms:
Ce1 0.0000 0.0000 0.0000 [1 per cell]
Ho1 0.0000 0.0000 0.5000 [1 per cell]
As1 0.3333 0.6667 0.2470 [2 per cell]
Pd1 0.3333 0.6667 0.7290 [2 per cell]


NaCa4Mg5: optimized geometry, PBE-GGA.

Summary:
N(E_F) ... 9.189 states/eV/cell
Calculated volume ... 306.6 Å³ per cell
Formation energy from the elements ... -0.03 eV per atom

a b c (Å): 3.9026 3.9026 20.1318
angles (deg): 90.00 90.00 90.00
Space group P4/mmm (No. 123)
One atom of each set of equivalent atoms:
Na1 0.0000 0.0000 0.0000 [1 per cell]
Ca1 0.0000 0.0000 0.1967 [2 per cell]
Ca2 0.0000 0.0000 0.3990 [2 per cell]
Mg1 0.5000 0.5000 0.0921 [2 per cell]
Mg2 0.5000 0.5000 0.2982 [2 per cell]
Mg3 0.5000 0.5000 0.5000 [1 per cell]